Entry 1:
Material: Ca2NdSnTe4
Method: DFT, PBE-GGA
State: optimized geometry

Unit cell a=7.825 b=4.490 c=7.893 alpha=90.00 beta=109.25 gamma=90.00
Atoms (fractional coordinates):
Ca 0.000 0.000 0.000
Ca 0.000 0.500 0.500
Nd 0.500 0.000 0.500
Sn 0.500 0.500 0.000
Te 0.248 0.500 0.247
Te 0.249 0.000 0.750
Te 0.751 0.000 0.250
Te 0.752 0.500 0.753

Properties
Space-group type: No. 10
Density of states at the Fermi level: 0.392 states/eV/atom
V: 32.73 Å³ per atom
Formation energy (no corrections): -1.19 eV/atom


Entry 2:
Material: Ac2ScGe4Au3
Method: DFT, PBE-GGA
State: optimized geometry

Unit cell a=4.539 b=4.539 c=11.140 alpha=90.00 beta=90.00 gamma=90.00
Atoms (fractional coordinates):
Ac 0.000 0.500 0.238
Ac 0.500 0.000 0.762
Sc 0.000 0.000 0.500
Ge 0.000 0.000 0.000
Ge 0.000 0.500 0.640
Ge 0.500 0.000 0.360
Ge 0.500 0.500 0.000
Au 0.000 0.500 0.874
Au 0.500 0.000 0.126
Au 0.500 0.500 0.500

Properties
Energy of formation from the pure elements: -687 meV/atom
Space-group type: No. 115
Density of states at the Fermi level: 0.244 states/eV/atom
V: 22.96 Å³ per atom


| no. | magnetization (μB/cell) |
| --- | --- |
| 1 | 0.00 |
| 2 | 0.00 |